*1*
Here is a relaxed CaCd6In2 crystal from the Alexandria database. Energies are from PBE.

Cell lengths 5.002, 6.308, 8.308 Å; angles 67.69, 81.85, 68.08 degrees
Sites, in units of the cell vectors:
1 Cd 0.314 0.370 0.000
2 Cd 0.821 0.512 0.659
3 Cd 0.686 0.630 0.000
4 Cd 0.179 0.829 0.659
5 Cd 0.179 0.488 0.341
6 Cd 0.821 0.171 0.341
7 In 0.500 0.847 0.305
8 In 0.500 0.153 0.695
9 Ca 0.000 0.000 0.000

Computed properties:
V	24.997	Å³ per atom
crystal system	monoclinic


*2*
Here is a relaxed CaCd6In2 crystal from the Alexandria database. Energies are from PBE.

Cell lengths 3.354, 8.887, 8.887 Å; angles 60.22, 79.37, 79.37 degrees
Sites, in units of the cell vectors:
1 In 0.851 0.649 0.649
2 In 0.149 0.351 0.351
3 Cd 0.329 0.005 0.343
4 Cd 0.500 0.677 0.323
5 Cd 0.329 0.343 0.005
6 Cd 0.671 0.995 0.657
7 Cd 0.671 0.657 0.995
8 Cd 0.500 0.323 0.677
9 Ca 0.000 0.000 0.000

Computed properties:
V	24.959	Å³ per atom
crystal system	monoclinic


On energetic grounds, *2* is preferred over the next structure by 10 meV per atom.